1.
The following is a DFT calculation (PBE) of crystalline Ba2MgCd at its relaxed geometry.

Calculated volume ... 44.48 Å³ per atom
Space group ... Immm (71)
Energy relative to the elements ... 0.2 eV/f.u.
VASP energy ... -1.54 eV per atom

Cell: 10.7404 10.7404 10.7404 Å, 157.79 157.66 31.71°
Last column: nearest neighbours and their distance in Å.
Atoms (fractional coordinates):
Ba: 0.1629 0.1629 0.0000  1 Cd 3.37
Ba: 0.8371 0.8371 0.0000  1 Cd 3.37
Mg: 0.5000 0.5000 0.0000  4 Cd 2.93
Cd: 0.0000 0.0000 0.0000  4 Mg 2.93

2.
The following is a DFT calculation (PBE) of crystalline TiAsHBr2 at its relaxed geometry.

Calculated volume ... 26.44 Å³ per atom
Space group ... P4/mmm (123)
Offset from the most stable computed form ... 0.0 meV/atom
VASP energy ... -3.75 eV per atom

Cell: 5.1294 5.1294 5.0251 Å, 90.00 90.00 90.00°
Last column: nearest neighbours and their distance in Å.
Atoms (fractional coordinates):
Ti: 0.0000 0.0000 0.0000  2 As 2.51, 4 Br 2.56
As: 0.0000 0.0000 0.5000  2 Ti 2.51
H: 0.5000 0.5000 0.5000  8 Br 3.59, 4 As 3.63
Br: 0.0000 0.5000 0.0000  2 Ti 2.56
Br: 0.5000 0.0000 0.0000  2 Ti 2.56

3.
The following is a DFT calculation (PBE) of crystalline ZnB2IrPd at its relaxed geometry.

Calculated volume ... 15.00 Å³ per atom
Space group ... P4/mmm (123)
Energy relative to the elements ... 6.6 eV/f.u.
VASP energy ... -4.41 eV per atom

Cell: 3.9591 3.9591 4.7840 Å, 90.00 90.00 90.00°
Last column: nearest neighbours and their distance in Å.
Atoms (fractional coordinates):
Zn: 0.0000 0.0000 0.0000  2 Pd 2.39
B: 0.0000 0.5000 0.5000  2 Pd 1.98
B: 0.5000 0.0000 0.5000  2 Pd 1.98
Ir: 0.5000 0.5000 0.0000  4 Zn 2.80, 8 B 3.10
Pd: 0.0000 0.0000 0.5000  4 B 1.98